# 1
The following is a PBE calculation of an optimized crystal structure of CoWN2, from the Alexandria database.

Cell: 4.4798 4.4798 9.1597 Å, 90.00 90.00 90.00°
Space group I-42d (No. 122)
Unique sites:
Co (0.0000, 0.0000, 0.0000) [4 per cell]
W (0.0000, 0.0000, 0.5000) [4 per cell]
N (0.2498, 0.2500, 0.1250) [8 per cell]

## Properties
For the density, the calculation gives 9.8 Mg/m³. As for the uncorrected formation energy: -30 meV per atom.

=====

# 2
The following is a PBE calculation of an optimized crystal structure of CaCeEr2S4, from the Alexandria database.

Cell: 6.8298 3.9206 6.8594 Å, 90.00 109.17 90.00°
Space group P2/m (No. 10)
Unique sites:
Ca (0.0000, 0.0000, 0.0000) [1 per cell]
Ce (0.0000, 0.5000, 0.5000) [1 per cell]
Er (0.5000, 0.0000, 0.5000) [1 per cell]
Er (0.5000, 0.5000, 0.0000) [1 per cell]
S (0.2603, 0.5000, 0.2505) [2 per cell]
S (0.2624, 0.0000, 0.7582) [2 per cell]

## Properties
For the density, the calculation gives 6.2 Mg/m³. As for the uncorrected formation energy: -2010 meV per atom.

=====

# 3
The following is a PBE calculation of an optimized crystal structure of MgSc3Ta, from the Alexandria database.

Cell: 5.1793 5.1793 5.1793 Å, 90.00 90.00 90.00°
Space group Pm-3m (No. 221)
Unique sites:
Mg (0.0000, 0.0000, 0.0000) [1 per cell]
Sc (0.0000, 0.5000, 0.5000) [3 per cell]
Ta (0.5000, 0.5000, 0.5000) [1 per cell]

## Properties
For the density, the calculation gives 4.1 Mg/m³. The relative energy among the computed polymorphs comes out at 0.000 eV/atom.

=====

# 4
The following is a PBE calculation of an optimized crystal structure of Nd4InH, from the Alexandria database.

Cell: 17.1903 6.8528 5.8545 Å, 90.00 109.07 90.00°
Space group C2/m (No. 12)
Unique sites:
Nd (0.0000, 0.2446, 0.0000) [4 per cell]
Nd (0.1131, 0.2503, 0.6170) [8 per cell]
Nd (0.2043, 0.0000, 0.2260) [4 per cell]
In (0.1855, 0.5000, 0.1791) [4 per cell]
H (0.0867, 0.0000, 0.8810) [4 per cell]

## Properties
For the density, the calculation gives 7.1 Mg/m³. The value obtained for the total energy is -4.431 eV per atom.

=====

# 5
The following is a PBE calculation of an optimized crystal structure of BaZn, from the Alexandria database.

Cell: 11.9593 11.9593 4.3961 Å, 90.00 90.00 90.00°
Space group I4/m (No. 87)
Unique sites:
Ba (0.1083, 0.2160, 0.0000) [8 per cell]
Zn (0.0766, 0.4204, 0.5000) [8 per cell]

## Properties
For the density, the calculation gives 4.3 Mg/m³. The value obtained for the total energy is -1.575 eV per atom.

=====

# 6
The following is a PBE calculation of an optimized crystal structure of Li2CoRh, from the Alexandria database.

Cell: 2.5636 4.1405 4.9153 Å, 90.00 90.00 90.00°
Space group Pmmm (No. 47)
Unique sites:
Li (0.0000, 0.0000, 0.2467) [2 per cell]
Co (0.5000, 0.5000, 0.5000) [1 per cell]
Rh (0.5000, 0.5000, 0.0000) [1 per cell]

## Properties
For the density, the calculation gives 5.6 Mg/m³. The relative energy among the computed polymorphs comes out at 0.129 eV/atom.

=====

# 7
The following is a PBE calculation of an optimized crystal structure of ErHf2ZrN4, from the Alexandria database.

Cell: 5.6567 3.2554 5.6812 Å, 90.00 109.21 90.00°
Space group P2/m (No. 10)
Unique sites:
Er (0.0000, 0.0000, 0.0000) [1 per cell]
Hf (0.0000, 0.5000, 0.5000) [1 per cell]
Hf (0.5000, 0.0000, 0.5000) [1 per cell]
Zr (0.5000, 0.5000, 0.0000) [1 per cell]
N (0.2473, 0.0000, 0.7348) [2 per cell]
N (0.2583, 0.5000, 0.2680) [2 per cell]

## Properties
For the density, the calculation gives 11.3 Mg/m³. As for the uncorrected formation energy: -1775 meV per atom.

=====

# 8
The following is a PBE calculation of an optimized crystal structure of SnHgAs, from the Alexandria database.

Cell: 12.4773 4.1767 6.7859 Å, 90.00 106.01 90.00°
Space group C2/m (No. 12)
Unique sites:
Sn (0.1568, 0.0000, 0.0900) [4 per cell]
Hg (0.1320, 0.0000, 0.5046) [4 per cell]
As (0.1119, 0.5000, 0.8083) [4 per cell]

## Properties
For the density, the calculation gives 7.7 Mg/m³. The relative energy among the computed polymorphs comes out at 0.064 eV/atom.

=====

# 9
The following is a PBE calculation of an optimized crystal structure of AcPm6Pr3Sm2, from the Alexandria database.

Cell: 6.3963 11.0766 12.2367 Å, 90.00 100.07 90.00°
Space group C2/m (No. 12)
Unique sites:
Ac (0.0000, 0.0000, 0.0000) [2 per cell]
Pm (0.2477, 0.3321, 0.7490) [8 per cell]
Pm (0.2486, 0.5000, 0.2514) [4 per cell]
Pr (0.0000, 0.1671, 0.5000) [4 per cell]
Pr (0.0000, 0.5000, 0.5000) [2 per cell]
Sm (0.0000, 0.3335, 0.0000) [4 per cell]

## Properties
For the density, the calculation gives 7.1 Mg/m³. The value obtained for the total energy is -4.679 eV per atom.

=====

# 10
The following is a PBE calculation of an optimized crystal structure of La2TmIr9, from the Alexandria database.

Cell: 5.3423 5.3423 26.8839 Å, 90.00 90.00 120.00°
Space group R-3m (No. 166, hexagonal axes)
Unique sites:
La (0.0000, 0.0000, 0.1394) [6 per cell]
Tm (0.0000, 0.0000, 0.0000) [3 per cell]
Ir (0.0000, 0.0000, 0.3320) [6 per cell]
Ir (0.0000, 0.0000, 0.5000) [3 per cell]
Ir (0.0032, 0.5016, 0.0797) [18 per cell]

## Properties
For the density, the calculation gives 16.3 Mg/m³. The value obtained for the total energy is -8.356 eV per atom.

=====

Which of these has the highest density?
La2TmIr9

=====

density of number 5 (BaZn)?
4.3 Mg/m³